(1)
Compound: InIr2Cl
Source: Alexandria
Functional: PBE-GGA
Structure: relaxed

Geometry as POSCAR:
```
InIr2Cl
1.0
2.938 0.000 0.000
0.000 3.618 0.000
0.000 0.000 8.031
Ir In Cl
2 1 1
direct
0.000 0.000 0.024
0.500 0.500 0.152
0.500 0.500 0.773
0.000 0.000 0.551
```

Computed properties:
The value obtained for the energy relative to the lowest polymorph listed for this composition is 186 meV/atom. The formation energy without anion corrections comes out at 0.360 eV per atom. As for the space-group type: Pmm2 (25).

---

(2)
Compound: DyCdGe4
Source: Alexandria
Functional: PBE-GGA
Structure: relaxed

Geometry as POSCAR:
```
DyCdGe4
1.0
5.612 0.000 0.000
2.806 4.860 0.000
2.806 1.620 4.582
Cd Ge Dy
1 4 1
direct
0.000 0.000 0.000
0.625 0.625 0.126
0.126 0.625 0.625
0.625 0.625 0.625
0.625 0.126 0.625
0.250 0.250 0.250
```

Computed properties:
The calculation puts the formation enthalpy at 0 K at -0.15 eV/atom. As for the space-group type: F-43m (216).

---

(3)
Compound: NaZrAgBr6
Source: Alexandria
Functional: PBE-GGA
Structure: relaxed

Geometry as POSCAR:
```
NaZrAgBr6
1.0
-2.697 -6.485 1.315
6.116 2.021 3.094
-6.726 4.850 10.126
Br Na Zr Ag
12 2 2 2
direct
0.368 0.026 0.132
0.342 0.368 0.868
0.974 0.342 0.132
0.026 0.658 0.868
0.632 0.974 0.868
0.342 0.974 0.632
0.658 0.632 0.132
0.632 0.658 0.632
0.974 0.632 0.368
0.026 0.368 0.632
0.658 0.026 0.368
0.368 0.342 0.368
0.000 0.000 0.000
0.000 0.000 0.500
0.333 0.667 0.750
0.667 0.333 0.250
0.333 0.667 0.250
0.667 0.333 0.750
```

Computed properties:
The formation energy without anion corrections comes out at -1.167 eV per atom. As for the space-group type: P-31c (163).

---

The records above yield density values of 10.400, 7.514, 4.026 g/cm³, respectively.